## one
Density functional theory data (PBE) for a relaxed HfSiSn crystal.

Cell and atoms, written as POSCAR:
```
HfSiSn
1.0
2.8303 -3.5812 0.3227
-1.3792 -3.8243 2.1006
-0.8120 -3.7851 -2.4400
Sn Hf Si
1 1 1
Cartesian
0.4793 -8.3929 -0.0125
0.1598 -2.7976 -0.0042
0.0000 0.0000 0.0000
```

Summary:
- V: 22.6 A^3/atom

***

## two
Density functional theory data (PBE) for a relaxed HfSiSn crystal.

Cell and atoms, written as POSCAR:
```
HfSiSn
1.0
-1.3642 3.0265 3.2968
0.5742 4.5959 -0.6617
-3.7202 2.7403 -0.7352
Sn Si Hf
1 1 1
Cartesian
-3.3826 7.7721 1.4249
-1.1275 2.5907 0.4750
0.0000 0.0000 0.0000
```

Summary:
- V: 24.1 A^3/atom

***

On energetic grounds, one is preferred over the next structure by 6.4 kJ/mol of atoms.

***

## one
Density functional theory data (PBE) for a relaxed HfTa2Si2 crystal.

Cell and atoms, written as POSCAR:
```
HfTa2Si2
1.0
-1.9643 1.9643 5.6790
1.9643 -1.9643 5.6790
1.9643 1.9643 -5.6790
Ta Si Hf
2 2 1
Cartesian
0.0000 1.9643 2.8395
1.9643 0.0000 2.8395
0.0000 0.0000 4.5499
0.0000 0.0000 6.8081
0.0000 0.0000 0.0000
```

Summary:
- V: 17.5 A^3/atom

***

## two
Density functional theory data (PBE) for a relaxed HfTa2Si2 crystal.

Cell and atoms, written as POSCAR:
```
HfTa2Si2
1.0
-1.0886 4.5439 5.0207
-5.9919 -3.0153 1.4297
1.6075 -2.1195 2.2668
Ta Si Hf
4 4 2
Cartesian
-3.3971 -2.3073 2.9459
-4.8981 -0.5168 5.6845
-0.5749 -0.0741 3.0327
-2.0760 1.7164 5.7713
-5.6464 -0.9354 3.1294
-1.4342 2.4641 3.3210
-2.3797 -0.5576 1.1662
-4.7008 2.0863 5.2842
-3.5403 0.7643 3.2252
0.0000 0.0000 0.0000
```

Summary:
- V: 16.4 A^3/atom

***

On energetic grounds, two is preferred over the next structure by 21.1 kJ/mol of atoms.

***

## one
Density functional theory data (PBE) for a relaxed TbHfSi2 crystal.

Cell and atoms, written as POSCAR:
```
TbHfSi2
1.0
-0.8609 2.4559 -2.7332
-2.7582 -3.9371 -2.6689
-6.2106 1.8798 3.6453
Hf Si Tb
2 4 2
Cartesian
-3.0124 -0.8698 0.1673
-6.8164 -0.9272 1.3139
-1.7614 -0.2373 -2.2640
-5.4653 -0.1519 -1.0206
-6.3216 1.3162 3.1739
-5.2841 -2.5753 -0.6496
-4.9954 1.9972 0.7625
-3.9403 -1.8691 -3.0439
```

Summary:
- V: 19.3 A^3/atom

***

## two
Density functional theory data (PBE) for a relaxed TbHfSi2 crystal.

Cell and atoms, written as POSCAR:
```
TbHfSi2
1.0
-0.9579 -2.1956 -2.9225
-0.8458 -5.8286 4.6561
-5.2334 1.3309 0.7154
Si Hf Tb
4 2 2
Cartesian
-1.3821 -2.2434 -0.3045
-3.9808 -3.6560 4.0514
-4.7724 -0.6322 2.0392
-2.9638 -4.6637 2.0322
-5.5639 -3.2244 1.8031
-2.3569 -2.0246 2.2935
-1.4191 -5.2374 4.3998
-3.7936 -0.7003 -0.6734
```

Summary:
- V: 19.3 A^3/atom

***

## three
Density functional theory data (PBE) for a relaxed TbHfSi2 crystal.

Cell and atoms, written as POSCAR:
```
TbHfSi2
1.0
-5.2039 -0.0454 -1.8170
1.2316 -0.7669 -3.5082
-0.2401 -7.2413 1.4987
Si Hf Tb
4 2 2
Cartesian
-4.3245 -3.5181 -1.7762
-3.2740 -7.2223 -0.5976
-0.9384 -0.8313 -3.2289
0.1121 -4.5355 -2.0503
-0.4902 -6.1722 0.1502
-3.7222 -1.8815 -3.9766
-1.7214 -2.5194 -1.0806
-2.4909 -5.5342 -2.7458
```

Summary:
- V: 19.3 A^3/atom

***

On energetic grounds, two is preferred over the next structure by 3.2 kJ/mol of atoms.